No. 1
A geometry-optimized BaLaTa2Ag structure. Source: Alexandria, functional GGA-PBE.

Calculated values
Energy of formation from the pure elements: 2.2930 eV/atom

a = 5.190 Å, b = 5.750 Å, c = 5.190 Å
α = 90.00°, β = 90.00°, γ = 90.00°
Site moments in Bohr magnetons follow the coordinates.
Fractional coordinates of all 5 atoms:
La (0.000, 0.500, 0.000)  0.04
Ba (0.000, 0.000, 0.000)  -0.01
Ag (0.500, 0.500, 0.500)  0.00
Ta (0.000, 0.000, 0.500)  0.26
Ta (0.500, 0.000, 0.000)  0.43

=====

No. 2
A geometry-optimized Mn5Be3 structure. Source: Alexandria, functional GGA-PBE.

Calculated values
Energy of formation from the pure elements: -0.0992 eV/atom

a = 4.224 Å, b = 6.372 Å, c = 6.372 Å
α = 83.69°, β = 70.64°, γ = 70.64°
Site moments in Bohr magnetons follow the coordinates.
Fractional coordinates of all 16 atoms:
Be (0.750, 0.000, 0.000)  -0.03
Be (0.250, 0.000, 0.000)  -0.03
Be (0.327, 0.500, 0.846)  -0.03
Be (0.673, 0.500, 0.154)  -0.03
Be (0.827, 0.846, 0.500)  -0.03
Be (0.173, 0.154, 0.500)  -0.03
Mn (0.750, 0.500, 0.500)  0.41
Mn (0.250, 0.500, 0.500)  0.41
Mn (0.428, 0.842, 0.302)  0.47
Mn (0.572, 0.158, 0.698)  0.47
Mn (0.928, 0.302, 0.842)  0.47
Mn (0.072, 0.698, 0.158)  0.47
Mn (0.230, 0.842, 0.698)  0.47
Mn (0.770, 0.158, 0.302)  0.47
Mn (0.270, 0.302, 0.158)  0.47
Mn (0.730, 0.698, 0.842)  0.47

=====

No. 3
A geometry-optimized YVSn2 structure. Source: Alexandria, functional GGA-PBE.

Calculated values
Distance to the lowest polymorph of the same formula: 0.327 eV/atom
Energy of formation from the pure elements: 0.2042 eV/atom

a = 4.646 Å, b = 4.646 Å, c = 10.551 Å
α = 77.28°, β = 77.28°, γ = 90.00°
Site moments in Bohr magnetons follow the coordinates.
Fractional coordinates of all 8 atoms:
Y (0.000, 0.000, 0.000)  0.22
Y (0.750, 0.250, 0.500)  0.22
Sn (0.576, 0.125, 0.250)  -0.04
Sn (0.174, 0.625, 0.250)  -0.04
Sn (0.375, 0.424, 0.750)  -0.04
Sn (0.875, 0.826, 0.750)  -0.04
V (0.500, 0.500, 0.000)  2.66
V (0.250, 0.750, 0.500)  2.66

=====

No. 4
A geometry-optimized HoZn2Ni4 structure. Source: Alexandria, functional GGA-PBE.

Calculated values
Distance to the lowest polymorph of the same formula: 0.000 eV/atom
Energy of formation from the pure elements: -0.3026 eV/atom

a = 4.956 Å, b = 5.061 Å, c = 5.061 Å
α = 76.04°, β = 60.82°, γ = 60.82°
Fractional coordinates of all 7 atoms:
Ho (0.000, 0.000, 0.000)
Zn (0.751, 0.499, 0.499)
Zn (0.249, 0.501, 0.501)
Ni (0.692, 0.614, 0.000)
Ni (0.308, 0.386, 0.000)
Ni (0.693, 0.000, 0.614)
Ni (0.308, 0.000, 0.386)

=====

No. 5
A geometry-optimized AuBr2Cl structure. Source: Alexandria, functional GGA-PBE.

Calculated values
Formation energy without anion corrections: -0.0412 eV per atom
Distance to the lowest polymorph of the same formula: 0.134 eV/atom

a = 5.922 Å, b = 5.922 Å, c = 7.890 Å
α = 48.60°, β = 48.60°, γ = 37.23°
Fractional coordinates of all 4 atoms:
Au (0.250, 0.250, 0.250)
Br (0.961, 0.961, 0.039)
Br (0.539, 0.539, 0.461)
Cl (0.750, 0.750, 0.750)

=====

No. 6
A geometry-optimized BaLiDyIn structure. Source: Alexandria, functional GGA-PBE.

Calculated values
Energy of formation from the pure elements: -0.1018 eV/atom

a = 5.663 Å, b = 5.663 Å, c = 5.663 Å
α = 60.00°, β = 60.00°, γ = 60.00°
Fractional coordinates of all 4 atoms:
In (0.500, 0.500, 0.500)
Li (0.000, 0.000, 0.000)
Ba (0.250, 0.250, 0.250)
Dy (0.750, 0.750, 0.750)

=====

No. 7
A geometry-optimized CeHfHg structure. Source: Alexandria, functional GGA-PBE.

Calculated values
Distance to the lowest polymorph of the same formula: 0.000 eV/atom
Energy of formation from the pure elements: -0.0697 eV/atom

a = 3.256 Å, b = 3.256 Å, c = 7.264 Å
α = 102.95°, β = 102.95°, γ = 90.00°
Site moments in Bohr magnetons follow the coordinates.
Fractional coordinates of all 3 atoms:
Hf (0.675, 0.675, 0.351)  0.01
Hg (0.322, 0.322, 0.644)  0.00
Ce (0.003, 0.003, 0.005)  0.20

=====

No. 8
A geometry-optimized AlAg2TeO4 structure. Source: Alexandria, functional GGA-PBE.

Calculated values
Formation energy without anion corrections: -1.0812 eV per atom

a = 5.332 Å, b = 5.760 Å, c = 5.258 Å
α = 120.73°, β = 98.93°, γ = 107.13°
Fractional coordinates of all 8 atoms:
Al (0.996, 0.488, 0.955)
Ag (0.562, 0.032, 0.107)
Ag (0.173, 0.190, 0.363)
Te (0.642, 0.697, 0.523)
O (0.955, 0.702, 0.815)
O (0.775, 0.476, 0.179)
O (0.366, 0.693, 0.192)
O (0.918, 0.109, 0.640)

=====

No. 9
A geometry-optimized DySiB structure. Source: Alexandria, functional GGA-PBE.

Calculated values
Formation energy without anion corrections: -0.6656 eV per atom
Distance to the lowest polymorph of the same formula: 0.000 eV/atom

a = 4.124 Å, b = 3.555 Å, c = 3.555 Å
α = 120.00°, β = 90.00°, γ = 90.00°
Fractional coordinates of all 3 atoms:
Si (0.167, 0.000, 0.000)
B (0.166, 0.667, 0.333)
Dy (0.667, 0.333, 0.667)

=====

No. 10
A geometry-optimized Cd2TcCl structure. Source: Alexandria, functional GGA-PBE.

Calculated values
Formation energy without anion corrections: 0.1809 eV per atom
Distance to the lowest polymorph of the same formula: 0.061 eV/atom

a = 3.135 Å, b = 3.136 Å, c = 8.087 Å
α = 90.00°, β = 90.00°, γ = 90.00°
Site moments in Bohr magnetons follow the coordinates.
Fractional coordinates of all 4 atoms:
Cd (0.000, 0.000, 0.982)  0.00
Cd (0.000, 0.000, 0.518)  0.00
Cl (0.500, 0.500, 0.250)  -0.01
Tc (0.500, 0.500, 0.750)  1.55

=====

No. 11
A geometry-optimized Cd2ReW structure. Source: Alexandria, functional GGA-PBE.

Calculated values
Distance to the lowest polymorph of the same formula: 0.403 eV/atom
Energy of formation from the pure elements: 0.7700 eV/atom

a = 2.744 Å, b = 2.744 Å, c = 9.375 Å
α = 90.00°, β = 90.00°, γ = 90.00°
Fractional coordinates of all 4 atoms:
Re (0.500, 0.500, 0.250)
W (0.500, 0.500, 0.750)
Cd (0.000, 0.000, 0.001)
Cd (0.000, 0.000, 0.499)

=====

No. 12
A geometry-optimized BePd6Au2 structure. Source: Alexandria, functional GGA-PBE.

Calculated values
Distance to the lowest polymorph of the same formula: 0.096 eV/atom
Energy of formation from the pure elements: -0.0663 eV/atom

a = 2.781 Å, b = 7.569 Å, c = 7.964 Å
α = 118.37°, β = 100.06°, γ = 90.00°
Fractional coordinates of all 9 atoms:
Be (0.000, 0.000, 0.000)
Pd (0.168, 0.344, 0.336)
Pd (0.832, 0.008, 0.664)
Pd (0.832, 0.656, 0.664)
Pd (0.500, 0.242, 0.000)
Pd (0.168, 0.992, 0.336)
Pd (0.500, 0.758, 0.000)
Au (0.649, 0.650, 0.300)
Au (0.351, 0.350, 0.700)

=====

no.,calculated density (kg/m3)
1,7998
2,6564
3,5790
4,9105
5,5432
6,5452
7,11806
8,5858
9,7409
10,7482
11,13990
12,11963